# 1
Compound: TaSCl3
Source: Alexandria via LeMat-Bulk
Functional: PBE
Structure: optimized geometry

Total moment   3.6 μB per formula unit
E   -3.19 eV per atom
V   23.58 A^3/atom
Formation energy from raw total energies   1.11 eV per atom
Offset from the most stable computed form   2281 meV per atom

Lattice parameters (Å, degrees): 4.9037 4.9037 4.9037 90.00 90.00 90.00
With the nearest neighbours (Å) after each atom.
Sites, in units of the cell vectors:
Ta (0.0000, 0.0000, 0.0000)  12 Cl 3.47
S (0.5000, 0.5000, 0.5000)  6 Cl 2.45
Cl (0.0000, 0.5000, 0.5000)  2 S 2.45
Cl (0.5000, 0.0000, 0.5000)  2 S 2.45
Cl (0.5000, 0.5000, 0.0000)  2 S 2.45

=====

# 2
Compound: Tm12In3Ga
Source: Alexandria via LeMat-Bulk
Functional: PBE
Structure: optimized geometry

Total moment   0.0 μB per formula unit
E   -4.31 eV per atom
V   26.81 A^3/atom
ΔE_f   -0.252 eV per atom

Lattice parameters (Å, degrees): 4.7490 4.7490 19.0215 90.00 90.00 90.00
With the nearest neighbours (Å) after each atom.
Sites, in units of the cell vectors:
Tm (0.0000, 0.0000, 0.0000)  8 Tm 3.29, 4 Ga 3.36
Tm (0.0000, 0.0000, 0.2467)  4 In 3.36, 8 Tm 3.39
Tm (0.0000, 0.0000, 0.5000)  4 In 3.36, 8 Tm 3.38
Tm (0.0000, 0.0000, 0.7533)  4 In 3.36, 8 Tm 3.39
Tm (0.0000, 0.5000, 0.1196)  2 Ga 3.29, 8 Tm 3.29-3.39, 2 In 3.39
Tm (0.0000, 0.5000, 0.3736)  8 Tm 3.36-3.39, 4 In 3.38
Tm (0.0000, 0.5000, 0.6264)  8 Tm 3.36-3.39, 4 In 3.38
Tm (0.0000, 0.5000, 0.8804)  2 Ga 3.29, 8 Tm 3.29-3.39, 2 In 3.39
Tm (0.5000, 0.0000, 0.1196)  2 Ga 3.29, 8 Tm 3.29-3.39, 2 In 3.39
Tm (0.5000, 0.0000, 0.3736)  8 Tm 3.36-3.39, 4 In 3.38
Tm (0.5000, 0.0000, 0.6264)  8 Tm 3.36-3.39, 4 In 3.38
Tm (0.5000, 0.0000, 0.8804)  2 Ga 3.29, 8 Tm 3.29-3.39, 2 In 3.39
In (0.5000, 0.5000, 0.2471)  12 Tm 3.36-3.39
In (0.5000, 0.5000, 0.5000)  12 Tm 3.36-3.38
In (0.5000, 0.5000, 0.7529)  12 Tm 3.36-3.39
Ga (0.5000, 0.5000, 0.0000)  12 Tm 3.29-3.36